[1]
# Th6PaSe12 | the Alexandria database | PBE | relaxed
data_Th6PaSe12
_chemical_formula_sum 'Th18 Pa3 Se36'
_cell_length_a 12.8647
_cell_length_b 12.8647
_cell_length_c 11.7758
_cell_angle_alpha 90.00
_cell_angle_beta 90.00
_cell_angle_gamma 120.00
_space_group_name_H-M_alt 'R -3'
_space_group_IT_number 148
_space_group_name_Hall '-R 3'
loop_
_atom_site_label
_atom_site_type_symbol
_atom_site_fract_x
_atom_site_fract_y
_atom_site_fract_z
_atom_site_occupancy
Th1 Th 0.0515 0.7762 0.1378 1
Pa1 Pa 0.0000 0.0000 0.5000 1
Se1 Se 0.0363 0.8242 0.8872 1
Se2 Se 0.0538 0.8457 0.3778 1
# E_form (uncorrected): -1.56 eV/atom


[2]
# Th2VRh | the Alexandria database | PBE | relaxed
data_Th2VRh
_chemical_formula_sum 'Th6 V3 Rh3'
_cell_length_a 3.6235
_cell_length_b 3.6235
_cell_length_c 28.1581
_cell_angle_alpha 90.00
_cell_angle_beta 90.00
_cell_angle_gamma 120.00
_space_group_name_H-M_alt 'R -3 m'
_space_group_IT_number 166
_space_group_name_Hall '-R 3 2"'
loop_
_atom_site_label
_atom_site_type_symbol
_atom_site_fract_x
_atom_site_fract_y
_atom_site_fract_z
_atom_site_occupancy
Th1 Th 0.0000 0.0000 0.0979 1
V1 V 0.0000 0.0000 0.0000 1
Rh1 Rh 0.0000 0.0000 0.5000 1
# Calculated formation energy: 8.912 kcal/mol of atoms


[3]
# ZnAs2W | the Alexandria database | PBE | relaxed
data_ZnAs2W
_chemical_formula_sum 'Zn3 As6 W3'
_cell_length_a 3.3597
_cell_length_b 3.3597
_cell_length_c 21.6785
_cell_angle_alpha 90.00
_cell_angle_beta 90.00
_cell_angle_gamma 120.00
_space_group_name_H-M_alt 'R -3 m'
_space_group_IT_number 166
_space_group_name_Hall '-R 3 2"'
loop_
_atom_site_label
_atom_site_type_symbol
_atom_site_fract_x
_atom_site_fract_y
_atom_site_fract_z
_atom_site_occupancy
Zn1 Zn 0.0000 0.0000 0.0000 1
As1 As 0.0000 0.0000 0.2456 1
W1 W 0.0000 0.0000 0.5000 1
# Calculated formation energy: 2.402 kcal/mol of atoms


[4]
# OsSe | the Alexandria database | PBE | relaxed
data_OsSe
_chemical_formula_sum 'Os8 Se8'
_cell_length_a 9.4857
_cell_length_b 9.4857
_cell_length_c 3.6938
_cell_angle_alpha 90.00
_cell_angle_beta 90.00
_cell_angle_gamma 90.00
_space_group_name_H-M_alt 'P 4/m'
_space_group_IT_number 83
loop_
_space_group_symop_operation_xyz
'x,y,z'
'-x,-y,-z'
'-y,x,z'
'y,-x,-z'
'-x,-y,z'
'x,y,-z'
'y,-x,z'
'-y,x,-z'
loop_
_atom_site_label
_atom_site_type_symbol
_atom_site_fract_x
_atom_site_fract_y
_atom_site_fract_z
_atom_site_occupancy
Os1 Os 0.0786 0.6213 0.0000 1
Os2 Os 0.1123 0.4166 0.5000 1
Se1 Se 0.1588 0.7916 0.5000 1
Se2 Se 0.2818 0.4694 0.0000 1
# E_form (uncorrected): 0.25 eV/atom


Number 1 is which compound?
Th6PaSe12


What did the second record say?
# Th2VRh | the Alexandria database | PBE | relaxed
data_Th2VRh
_chemical_formula_sum 'Th6 V3 Rh3'
_cell_length_a 3.6235
_cell_length_b 3.6235
_cell_length_c 28.1581
_cell_angle_alpha 90.00
_cell_angle_beta 90.00
_cell_angle_gamma 120.00
_space_group_name_H-M_alt 'R -3 m'
_space_group_IT_number 166
_space_group_name_Hall '-R 3 2"'
loop_
_atom_site_label
_atom_site_type_symbol
_atom_site_fract_x
_atom_site_fract_y
_atom_site_fract_z
_atom_site_occupancy
Th1 Th 0.0000 0.0000 0.0979 1
V1 V 0.0000 0.0000 0.0000 1
Rh1 Rh 0.0000 0.0000 0.5000 1
# Calculated formation energy: 8.912 kcal/mol of atoms


Which formula does entry 2 have?
Th2VRh